The following is a PBE calculation of an optimized crystal structure of TiZnRhAu, from the Alexandria database.

Cell: 2.9616 2.9616 7.1177 Å, 90.00 90.00 90.00°
Last column: nearest neighbours and their distance in Å.
Fractional coordinates of all 4 atoms:
Ti: 0.0000 0.0000 0.0000  4 Rh 2.63, 4 Au 2.90
Zn: 0.0000 0.0000 0.4571  4 Rh 2.68, 4 Au 2.80, 4 Zn 2.96
Rh: 0.5000 0.5000 0.2225  4 Ti 2.63, 4 Zn 2.68
Au: 0.5000 0.5000 0.7189  4 Zn 2.80, 4 Ti 2.90, 4 Au 2.96

Output
VASP energy in eV for the cell shown: -21.80
N(E_F) in states/eV/atom: 0.6492
Formation energy from the elements in meV/atom: -500
Calculated density in g/cm3: 10.99
SG: P4mm